# 1
A relaxed structure of U5Ti. Source: Alexandria, functional PBE.

```
data_U5Ti
_cell_length_a 2.9550
_cell_length_b 5.1290
_cell_length_c 8.2261
_cell_angle_alpha 108.16
_cell_angle_beta 90.00
_cell_angle_gamma 90.00
_space_group_name_H-M_alt 'P 1'
_space_group_IT_number 1
_space_group_name_Hall 'P 1'
loop_
_atom_site_label
_atom_site_type_symbol
_atom_site_fract_x
_atom_site_fract_y
_atom_site_fract_z
_atom_site_occupancy
U1 U 0.0000 0.6585 0.3170 1
U2 U 0.0000 0.3415 0.6830 1
U3 U 0.5000 0.5000 0.0000 1
U4 U 0.5000 0.1725 0.3451 1
U5 U 0.5000 0.8275 0.6549 1
Ti1 Ti 0.0000 0.0000 0.0000 1
```

Properties
formation energy: 0.16 eV/atom
DOS(E_F): 2.97 states/eV/atom
spin magnetization: 0.001 μB per formula unit


# 2
A relaxed structure of U3Ti. Source: Alexandria, functional PBE.

```
data_U3Ti
_cell_length_a 2.8051
_cell_length_b 4.9269
_cell_length_c 5.5537
_cell_angle_alpha 90.00
_cell_angle_beta 90.00
_cell_angle_gamma 90.00
_space_group_name_H-M_alt 'P 1'
_space_group_IT_number 1
_space_group_name_Hall 'P 1'
loop_
_atom_site_label
_atom_site_type_symbol
_atom_site_fract_x
_atom_site_fract_y
_atom_site_fract_z
_atom_site_occupancy
U1 U 0.5000 0.0000 0.5643 1
U2 U 0.5000 0.5000 0.7705 1
U3 U 0.0000 0.5000 0.2646 1
Ti1 Ti 0.0000 0.0000 0.0673 1
```

Properties
formation energy: 0.10 eV/atom
excess energy over the best structure of this formula in the dataset: 0 meV per atom
DOS(E_F): 1.97 states/eV/atom
spin magnetization: 0.001 μB per formula unit


# 3
A relaxed structure of U2Ti. Source: Alexandria, functional PBE.

```
data_U2Ti
_cell_length_a 3.4781
_cell_length_b 3.4781
_cell_length_c 5.4040
_cell_angle_alpha 108.77
_cell_angle_beta 108.77
_cell_angle_gamma 90.00
_space_group_name_H-M_alt 'P 1'
_space_group_IT_number 1
_space_group_name_Hall 'P 1'
loop_
_atom_site_label
_atom_site_type_symbol
_atom_site_fract_x
_atom_site_fract_y
_atom_site_fract_z
_atom_site_occupancy
U1 U 0.6825 0.6825 0.3650 1
U2 U 0.3175 0.3175 0.6350 1
Ti1 Ti 0.0000 0.0000 0.0000 1
```

Properties
formation energy: 0.12 eV/atom
excess energy over the best structure of this formula in the dataset: 206 meV per atom
DOS(E_F): 2.01 states/eV/atom
spin magnetization: 0.000 μB per formula unit


# 4
A relaxed structure of UTi2V. Source: Alexandria, functional PBE.

```
data_UTi2V
_cell_length_a 3.2157
_cell_length_b 3.2157
_cell_length_c 6.5510
_cell_angle_alpha 90.00
_cell_angle_beta 90.00
_cell_angle_gamma 90.00
_space_group_name_H-M_alt 'P 1'
_space_group_IT_number 1
_space_group_name_Hall 'P 1'
loop_
_atom_site_label
_atom_site_type_symbol
_atom_site_fract_x
_atom_site_fract_y
_atom_site_fract_z
_atom_site_occupancy
Ti1 Ti 0.0000 0.0000 0.7333 1
Ti2 Ti 0.0000 0.0000 0.2667 1
U1 U 0.5000 0.5000 0.0000 1
V1 V 0.5000 0.5000 0.5000 1
```

Properties
formation energy: 0.27 eV/atom
excess energy over the best structure of this formula in the dataset: 83 meV per atom
DOS(E_F): 1.76 states/eV/atom
spin magnetization: 0.021 μB per formula unit


# 5
A relaxed structure of UTiV. Source: Alexandria, functional PBE.

```
data_UTiV
_cell_length_a 2.7825
_cell_length_b 4.5476
_cell_length_c 4.5476
_cell_angle_alpha 120.00
_cell_angle_beta 90.00
_cell_angle_gamma 90.00
_space_group_name_H-M_alt 'P 1'
_space_group_IT_number 1
_space_group_name_Hall 'P 1'
loop_
_atom_site_label
_atom_site_type_symbol
_atom_site_fract_x
_atom_site_fract_y
_atom_site_fract_z
_atom_site_occupancy
Ti1 Ti 0.6532 0.6667 0.3333 1
U1 U 0.1172 0.0000 0.0000 1
V1 V 0.2296 0.3333 0.6667 1
```

Properties
formation energy: 0.12 eV/atom
excess energy over the best structure of this formula in the dataset: 80 meV per atom
DOS(E_F): 1.28 states/eV/atom
spin magnetization: 0.000 μB per formula unit


# 6
A relaxed structure of UTiV. Source: Alexandria, functional PBE.

```
data_UTiV
_cell_length_a 4.7355
_cell_length_b 2.7592
_cell_length_c 7.6473
_cell_angle_alpha 90.00
_cell_angle_beta 90.00
_cell_angle_gamma 90.00
_space_group_name_H-M_alt 'P 1'
_space_group_IT_number 1
_space_group_name_Hall 'P 1'
loop_
_atom_site_label
_atom_site_type_symbol
_atom_site_fract_x
_atom_site_fract_y
_atom_site_fract_z
_atom_site_occupancy
V1 V 0.8623 0.5000 0.9064 1
V2 V 0.3623 0.5000 0.0936 1
Ti1 Ti 0.8623 0.0000 0.2212 1
Ti2 Ti 0.3623 0.0000 0.7788 1
U1 U 0.3623 0.5000 0.4159 1
U2 U 0.8623 0.5000 0.5841 1
```

Properties
formation energy: 0.04 eV/atom
excess energy over the best structure of this formula in the dataset: 0 meV per atom
DOS(E_F): 1.39 states/eV/atom
spin magnetization: 0.000 μB per formula unit


# 7
A relaxed structure of UTi2V. Source: Alexandria, functional PBE.

```
data_UTi2V
_cell_length_a 4.5663
_cell_length_b 4.5663
_cell_length_c 4.5663
_cell_angle_alpha 60.00
_cell_angle_beta 60.00
_cell_angle_gamma 60.00
_space_group_name_H-M_alt 'P 1'
_space_group_IT_number 1
_space_group_name_Hall 'P 1'
loop_
_atom_site_label
_atom_site_type_symbol
_atom_site_fract_x
_atom_site_fract_y
_atom_site_fract_z
_atom_site_occupancy
Ti1 Ti 0.2500 0.2500 0.2500 1
Ti2 Ti 0.7500 0.7500 0.7500 1
U1 U 0.0000 0.0000 0.0000 1
V1 V 0.5000 0.5000 0.5000 1
```

Properties
formation energy: 0.19 eV/atom
excess energy over the best structure of this formula in the dataset: 0 meV per atom
DOS(E_F): 1.79 states/eV/atom
spin magnetization: 0.014 μB per formula unit


# 8
A relaxed structure of UTiV4. Source: Alexandria, functional PBE.

```
data_UTiV4
_cell_length_a 5.1009
_cell_length_b 5.1009
_cell_length_c 5.1009
_cell_angle_alpha 60.00
_cell_angle_beta 60.00
_cell_angle_gamma 60.00
_space_group_name_H-M_alt 'P 1'
_space_group_IT_number 1
_space_group_name_Hall 'P 1'
loop_
_atom_site_label
_atom_site_type_symbol
_atom_site_fract_x
_atom_site_fract_y
_atom_site_fract_z
_atom_site_occupancy
Ti1 Ti 0.0000 0.0000 0.0000 1
U1 U 0.2500 0.2500 0.2500 1
V1 V 0.6244 0.6244 0.1268 1
V2 V 0.6244 0.1268 0.6244 1
V3 V 0.6244 0.6244 0.6244 1
V4 V 0.1268 0.6244 0.6244 1
```

Properties
formation energy: 0.17 eV/atom
DOS(E_F): 1.79 states/eV/atom
spin magnetization: 0.001 μB per formula unit